[1]
{"formula": "RbLiTeCl6", "functional": "PBE", "state": "relaxed", "cell": [[6.7647, 0.0000, 0.0000], [-3.3823, 5.8584, 0.0000], [0.0000, 0.0000, 7.3642]], "species": ["Rb", "Li", "Te", "Cl", "Cl", "Cl", "Cl", "Cl", "Cl"], "frac_coords": [[0.0000, 0.0000, 0.0000], [0.3333, 0.6667, 0.5000], [0.6667, 0.3333, 0.5000], [0.3755, 0.0044, 0.7005], [0.3755, 0.3711, 0.2995], [0.6289, 0.0044, 0.2995], [0.6289, 0.6245, 0.7005], [0.9956, 0.3711, 0.7005], [0.9956, 0.6245, 0.2995]], "spacegroup": "P312, No. 149", "energy_ev_per_cell": -27.91, "raw_formation_energy_mev_per_atom": -1201, "m_tot_mub_per_atom": 0.0000}


[2]
{"formula": "RuPt2", "functional": "PBE", "state": "relaxed", "cell": [[7.6098, 0.0000, 0.0000], [-3.8049, 6.5903, 0.0000], [0.0000, 0.0000, 2.7459]], "species": ["Ru", "Ru", "Ru", "Pt", "Pt", "Pt", "Pt", "Pt", "Pt"], "frac_coords": [[0.0000, 0.0000, 0.0000], [0.3333, 0.6667, 0.5000], [0.6667, 0.3333, 0.5000], [0.0000, 0.2997, 0.5000], [0.0000, 0.6315, 0.0000], [0.2997, 0.0000, 0.5000], [0.3685, 0.3685, 0.0000], [0.6315, 0.0000, 0.0000], [0.7003, 0.7003, 0.5000]], "spacegroup": "P-62m, No. 189", "energy_ev_per_cell": -62.87, "ef_ev_per_atom": 0.134, "m_tot_mub_per_atom": 0.2930}


[3]
{"formula": "ScVP2Cl", "functional": "PBE", "state": "relaxed", "cell": [[4.5622, 0.0000, 0.0000], [0.0000, 4.5622, 0.0000], [0.0000, 0.0000, 4.7060]], "species": ["Sc", "V", "P", "P", "Cl"], "frac_coords": [[0.0000, 0.0000, 0.0000], [0.5000, 0.5000, 0.5000], [0.0000, 0.5000, 0.5000], [0.5000, 0.0000, 0.5000], [0.5000, 0.5000, 0.0000]], "spacegroup": "P4/mmm, No. 123", "energy_ev_per_cell": -29.37, "raw_formation_energy_mev_per_atom": -250, "de_polymorph_kj_per_mol_atoms": 0.0, "m_tot_mub_per_atom": 0.2426}


[4]
{"formula": "ScAlZn5", "functional": "PBE", "state": "relaxed", "cell": [[8.4570, 0.0000, 0.0000], [0.0000, 5.0804, 0.0000], [0.0000, 0.0000, 10.4470]], "species": ["Sc", "Sc", "Sc", "Sc", "Al", "Al", "Al", "Al", "Zn", "Zn", "Zn", "Zn", "Zn", "Zn", "Zn", "Zn", "Zn", "Zn", "Zn", "Zn", "Zn", "Zn", "Zn", "Zn", "Zn", "Zn", "Zn", "Zn"], "frac_coords": [[0.2424, 0.2500, 0.0687], [0.2576, 0.7500, 0.5687], [0.7424, 0.2500, 0.4313], [0.7576, 0.7500, 0.9313], [0.1503, 0.7500, 0.8550], [0.3497, 0.2500, 0.3550], [0.6503, 0.7500, 0.6450], [0.8497, 0.2500, 0.1450], [0.0402, 0.7500, 0.0831], [0.0568, 0.0093, 0.3039], [0.0568, 0.4907, 0.3039], [0.0880, 0.2500, 0.5184], [0.2034, 0.2500, 0.7496], [0.2967, 0.7500, 0.2496], [0.4120, 0.7500, 0.0184], [0.4432, 0.5093, 0.8039], [0.4432, 0.9907, 0.8039], [0.4598, 0.2500, 0.5831], [0.5402, 0.7500, 0.4169], [0.5568, 0.0093, 0.1961], [0.5568, 0.4907, 0.1961], [0.5880, 0.2500, 0.9816], [0.7034, 0.2500, 0.7504], [0.7966, 0.7500, 0.2504], [0.9120, 0.7500, 0.4816], [0.9432, 0.5093, 0.6961], [0.9432, 0.9907, 0.6961], [0.9598, 0.2500, 0.9169]], "spacegroup": "Pnma, No. 62", "energy_ev_per_cell": -70.65, "ef_ev_per_atom": -0.174, "m_tot_mub_per_atom": 0.0000}


[5]
{"formula": "AlZnW3", "functional": "PBE", "state": "relaxed", "cell": [[4.5462, 0.0000, 0.0000], [0.0000, 4.5462, 0.0000], [0.0000, 0.0000, 4.5462]], "species": ["Al", "Zn", "W", "W", "W"], "frac_coords": [[0.0000, 0.0000, 0.0000], [0.5000, 0.5000, 0.5000], [0.0000, 0.5000, 0.5000], [0.5000, 0.0000, 0.5000], [0.5000, 0.5000, 0.0000]], "spacegroup": "Pm-3m, No. 221", "energy_ev_per_cell": -34.55, "ef_ev_per_atom": 1.865, "de_polymorph_kj_per_mol_atoms": 0.0, "m_tot_mub_per_atom": 0.0000}


[6]
{"formula": "BaLaEu2", "functional": "PBE", "state": "relaxed", "cell": [[4.0352, 0.0000, 0.0000], [0.0000, 4.0352, 0.0000], [0.0000, 0.0000, 11.1647]], "species": ["Ba", "La", "Eu", "Eu"], "frac_coords": [[0.0000, 0.0000, 0.0000], [0.0000, 0.0000, 0.5000], [0.5000, 0.5000, 0.2758], [0.5000, 0.5000, 0.7242]], "spacegroup": "P4/mmm, No. 123", "energy_ev_per_cell": -27.04, "ef_ev_per_atom": 0.090, "de_polymorph_kj_per_mol_atoms": 1.0, "m_tot_mub_per_atom": 3.8925}


[7]
{"formula": "BeGeP2", "functional": "PBE", "state": "relaxed", "cell": [[1.6353, 0.9441, 7.1084], [-1.6353, 0.9441, 7.1084], [0.0000, -1.8883, 7.1084]], "species": ["Be", "Ge", "P", "P"], "frac_coords": [[0.0000, 0.0000, 0.0000], [0.5000, 0.5000, 0.5000], [0.3858, 0.3858, 0.3858], [0.6142, 0.6142, 0.6142]], "spacegroup": "R-3m, No. 166", "energy_ev_per_cell": -17.81, "ef_ev_per_atom": 0.339, "de_polymorph_kj_per_mol_atoms": 59.2, "m_tot_mub_per_atom": 0.0000}


[8]
{"formula": "Li3InSn", "functional": "PBE", "state": "relaxed", "cell": [[5.1203, 0.0000, 0.0000], [0.0000, 5.8763, 0.0000], [-2.5457, 0.0000, 6.7590]], "species": ["Li", "Li", "Li", "Li", "Li", "Li", "In", "In", "Sn", "Sn"], "frac_coords": [[0.1131, 0.2500, 0.0110], [0.2019, 0.5014, 0.4048], [0.2019, 0.9986, 0.4048], [0.7981, 0.0014, 0.5952], [0.7981, 0.4986, 0.5952], [0.8869, 0.7500, 0.9890], [0.4942, 0.2500, 0.7921], [0.5058, 0.7500, 0.2079], [0.2934, 0.7500, 0.7715], [0.7066, 0.2500, 0.2285]], "spacegroup": "P2_1/m, No. 11", "energy_ev_per_cell": -27.71, "ef_ev_per_atom": -0.274, "de_polymorph_kj_per_mol_atoms": 2.5, "m_tot_mub_per_atom": 0.0000}


[9]
{"formula": "SmNpC", "functional": "PBE", "state": "relaxed", "cell": [[1.6536, -10.0691, 0.0000], [1.6536, 10.0691, 0.0000], [0.0000, 0.0000, 3.7213]], "species": ["Sm", "Sm", "Np", "Np", "C", "C"], "frac_coords": [[0.1789, 0.8211, 0.7500], [0.8211, 0.1789, 0.2500], [0.4618, 0.5382, 0.7500], [0.5382, 0.4618, 0.2500], [0.0591, 0.9409, 0.7500], [0.9409, 0.0591, 0.2500]], "spacegroup": "Cmcm, No. 63", "energy_ev_per_cell": -52.17, "ef_ev_per_atom": 0.267, "de_polymorph_kj_per_mol_atoms": 11.0, "m_tot_mub_per_atom": 0.0001}


[10]
{"formula": "LaNd2Dy2Tm2", "functional": "PBE", "state": "relaxed", "cell": [[5.8171, -1.7553, 0.0000], [5.8171, 1.7553, 0.0000], [-2.3207, 0.0000, 11.5871]], "species": ["La", "Nd", "Nd", "Dy", "Dy", "Tm", "Tm"], "frac_coords": [[0.0000, 0.0000, 0.0000], [0.3450, 0.3450, 0.4250], [0.6550, 0.6550, 0.5750], [0.4069, 0.4069, 0.7290], [0.5931, 0.5931, 0.2710], [0.2952, 0.2952, 0.1283], [0.7048, 0.7048, 0.8717]], "spacegroup": "C2/m, No. 12", "energy_ev_per_cell": -31.61, "ef_ev_per_atom": 0.143, "m_tot_mub_per_atom": 0.0000}


[11]
{"formula": "YEr2Cd", "functional": "PBE", "state": "relaxed", "cell": [[4.8222, 0.0000, 0.0000], [0.0000, 4.8222, 0.0000], [0.0000, 0.0000, 4.8406]], "species": ["Y", "Er", "Er", "Cd"], "frac_coords": [[0.0000, 0.0000, 0.0000], [0.0000, 0.5000, 0.5000], [0.5000, 0.0000, 0.5000], [0.5000, 0.5000, 0.0000]], "spacegroup": "P4/mmm, No. 123", "energy_ev_per_cell": -16.86, "ef_ev_per_atom": -0.089, "de_polymorph_kj_per_mol_atoms": 6.8, "m_tot_mub_per_atom": 0.0384}


[12]
{"formula": "RbHgH5", "functional": "PBE", "state": "relaxed", "cell": [[3.0019, -5.6174, 0.0000], [3.0019, 5.6174, 0.0000], [-0.9931, 0.0000, 3.8808]], "species": ["Rb", "Hg", "H", "H", "H", "H", "H"], "frac_coords": [[0.0000, 0.0000, 0.0000], [0.3205, 0.6795, 0.5000], [0.1621, 0.3825, 0.6239], [0.1626, 0.8374, 0.5000], [0.6175, 0.8379, 0.3761], [0.6250, 0.3071, 0.9071], [0.6929, 0.3750, 0.0929]], "spacegroup": "C2, No. 5", "energy_ev_per_cell": -17.85, "m_tot_mub_per_atom": 0.0000}